Here is an optimized crystal structure of Np3Fe5O12 from Alexandria. Energies are from PBE+U.

Output
calculated total energy	-8.35	eV/atom
magnetization	124.00	μB per cell
symmetry	Ia-3d, No. 230
density of states at the Fermi level	26.02	states/eV/f.u.

The structure in extended XYZ format:
```
80
Lattice="10.920 0.000 0.000 -3.640 10.296 0.000 -3.640 -5.148 8.917" Properties=species:S:1:pos:R:3 pbc="T T T"
Np 6.370 3.217 1.115
Np 6.370 7.078 1.115
Np -0.910 4.504 5.573
Np 0.910 -0.643 3.344
Np 8.190 0.000 2.229
Np 0.910 5.148 2.229
Np 2.730 0.000 6.687
Np -4.550 5.148 6.687
Np 2.730 5.791 5.573
Np 4.550 0.643 3.344
Np -2.730 -1.930 7.802
Np -2.730 1.930 7.802
Fe -0.910 2.574 2.229
Fe -1.820 5.148 0.000
Fe 0.000 0.000 0.000
Fe 2.730 1.930 1.115
Fe 3.640 -2.574 4.458
Fe 3.640 5.148 0.000
Fe -2.730 5.791 3.344
Fe 4.550 -3.217 7.802
Fe 4.550 4.504 3.344
Fe 0.910 -2.574 6.687
Fe 2.730 7.722 2.229
Fe 1.820 2.574 4.458
Fe 5.460 0.000 0.000
Fe -1.820 -2.574 4.458
Fe -0.910 0.643 5.573
Fe -0.910 8.365 1.115
Fe -3.640 2.574 4.458
Fe 6.370 -0.643 5.573
Fe 0.910 3.217 7.802
Fe 4.550 2.574 6.687
O 7.174 1.074 0.360
O 0.106 3.423 3.708
O 8.064 2.383 2.569
O 4.677 1.541 1.110
O 1.379 3.873 5.988
O 7.729 5.131 1.529
O -0.784 5.990 3.679
O -2.857 8.755 1.110
O 0.442 6.423 5.988
O 5.012 5.165 1.529
O 5.567 2.799 3.348
O 5.567 9.222 0.360
O -3.199 4.548 4.818
O 2.269 3.832 0.779
O -3.747 7.497 3.348
O 1.926 -1.725 5.209
O -0.442 0.675 1.889
O 2.269 6.481 0.750
O 4.677 7.913 2.569
O -0.448 3.815 0.750
O -2.262 5.823 7.027
O 2.604 4.306 3.679
O 5.019 5.748 4.818
O 4.089 -1.316 8.138
O 1.036 0.842 5.237
O -1.379 -0.600 4.098
O -0.448 6.464 0.779
O -1.036 -2.765 6.348
O 5.902 -0.675 1.889
O 4.089 1.333 8.166
O 1.372 -1.333 8.166
O 1.714 6.873 3.708
O 4.082 4.473 7.027
O 7.387 -2.349 5.569
O 6.839 0.600 4.098
O -1.926 -4.074 8.557
O 1.372 1.316 8.138
O 3.199 -1.275 2.929
O -1.372 -0.017 7.387
O -1.926 2.349 5.569
O 6.497 -3.607 7.806
O 4.424 -0.842 5.237
O -1.036 3.607 7.806
O -4.089 0.017 7.387
O 2.262 1.275 2.929
O -4.424 2.765 6.348
O 3.534 1.725 5.209
O -3.534 4.074 8.557
```